# Sr3TmTh2As6

A relaxed Sr3TmTh2As6 crystal (GGA-PBE, Alexandria via LeMat-Bulk).

```
12
Lattice="7.479 -0.003 0.000 -3.741 6.477 0.000 -1.247 -2.160 7.208" Properties=species:S:1:pos:R:3 pbc="T T T"
As 0.031 4.316 5.585
As 3.723 2.183 5.585
As 2.461 -0.002 1.623
As -1.232 2.130 1.623
As 2.508 4.342 1.628
As -0.017 -0.029 5.580
Th 0.002 4.315 0.000
Th 3.737 2.158 0.000
Sr 4.979 0.000 3.604
Sr 1.246 2.157 3.604
Sr -2.488 4.313 3.604
Tm 0.000 0.000 0.000
```

Properties
final energy = -0.207 Ha/atom
formation enthalpy at 0 K = -15.48 eV/f.u.
Fermi-level density of states = 0.7783 states/eV/atom
magnetic moment = 0.0000 μB per atom

=====

# Sr2TmThAs4

A relaxed Sr2TmThAs4 crystal (GGA-PBE, Alexandria via LeMat-Bulk).

```
8
Lattice="-1.264 -3.426 -2.305 0.834 -4.310 5.948 -7.116 2.719 -0.140" Properties=species:S:1:pos:R:3 pbc="T T T"
As -0.968 -2.567 4.345
As -2.032 -2.164 0.285
As -5.514 -2.854 3.218
As -5.314 0.975 1.464
Th 0.000 0.000 0.000
Tm -0.215 -3.868 1.822
Sr -3.141 -0.796 2.904
Sr -4.190 -0.354 -1.223
```

Properties
final energy = -0.202 Ha/atom
formation enthalpy at 0 K = -10.05 eV/f.u.
Fermi-level density of states = 0.8459 states/eV/atom
magnetic moment = 0.0000 μB per atom

=====

# Sr4Th3UAs8

A relaxed Sr4Th3UAs8 crystal (GGA-PBE, Alexandria via LeMat-Bulk).

```
16
Lattice="8.679 0.000 0.000 0.000 8.757 0.048 -4.339 -4.334 6.140" Properties=species:S:1:pos:R:3 pbc="T T T"
As 4.339 4.268 3.012
As 4.339 0.148 3.245
As 0.000 0.155 3.175
As 0.000 4.274 2.943
As -2.222 2.055 6.087
As 2.117 2.367 0.101
As 2.222 2.055 6.087
As 6.561 2.367 0.101
Th 2.170 2.211 3.094
Th 4.339 4.378 0.024
Th -2.170 2.211 3.094
Sr 0.000 0.000 0.000
Sr 4.339 0.000 0.000
Sr 2.170 -2.167 3.070
Sr -2.170 -2.167 3.070
U 0.000 4.378 0.024
```

Properties
final energy = -0.224 Ha/atom
formation enthalpy at 0 K = -20.03 eV/f.u.
Fermi-level density of states = 0.4304 states/eV/atom
magnetic moment = 0.1153 μB per atom

=====

# Sr2ThUAs4

A relaxed Sr2ThUAs4 crystal (GGA-PBE, Alexandria via LeMat-Bulk).

```
8
Lattice="4.311 0.000 0.000 0.000 7.462 0.129 0.000 -2.608 7.117" Properties=species:S:1:pos:R:3 pbc="T T T"
Sr 2.156 -1.304 3.559
Sr 0.000 2.427 3.623
As 2.156 1.162 1.588
As 2.156 3.692 5.657
As 0.000 5.009 1.688
As 0.000 -0.154 5.558
Th 2.156 3.731 0.064
U 0.000 0.000 0.000
```

Properties
final energy = -0.229 Ha/atom
formation enthalpy at 0 K = -9.18 eV/f.u.
Fermi-level density of states = 0.8531 states/eV/atom
magnetic moment = 0.2435 μB per atom

=====

# SrTh2UAs4

A relaxed SrTh2UAs4 crystal (GGA-PBE, Alexandria via LeMat-Bulk).

```
8
Lattice="6.017 0.003 0.000 -0.003 6.017 0.000 -3.007 -3.010 6.024" Properties=species:S:1:pos:R:3 pbc="T T T"
As 0.000 0.000 2.962
As 3.009 0.002 5.966
As 3.009 0.001 0.057
As 3.007 3.010 3.061
Th 6.017 0.003 0.000
Th -0.002 3.009 3.012
U 3.009 0.002 3.012
Sr 3.007 3.010 0.000
```

Properties
final energy = -0.256 Ha/atom
formation enthalpy at 0 K = -9.25 eV/f.u.
Fermi-level density of states = 1.1799 states/eV/atom
magnetic moment = 0.3260 μB per atom

=====

# Sr4YTh3As8

A relaxed Sr4YTh3As8 crystal (GGA-PBE, Alexandria via LeMat-Bulk).

```
16
Lattice="-4.758 0.857 7.214 7.155 -1.401 4.886 0.034 6.320 -5.956" Properties=species:S:1:pos:R:3 pbc="T T T"
Sr 0.000 0.000 0.000
Sr 0.017 3.160 -2.978
Sr -2.379 0.428 3.607
Sr -2.362 3.589 0.629
Th 3.594 2.460 -0.535
Th 1.198 -0.272 6.050
Th 1.215 2.888 3.072
As -1.633 3.537 3.730
As 0.741 3.094 0.122
As 4.081 5.414 -0.577
As 4.064 2.239 2.415
As 0.740 -0.068 3.098
As 1.689 2.683 6.023
As 1.690 5.845 3.047
As -1.650 0.362 6.722
Y 3.577 -0.700 2.443
```

Properties
final energy = -0.215 Ha/atom
formation enthalpy at 0 K = -21.08 eV/f.u.
Fermi-level density of states = 0.6718 states/eV/atom
magnetic moment = 0.0000 μB per atom